[1]
Here is a relaxed structure of TiV2H5 from Alexandria via LeMat-Bulk. Energies are from PBE.

Results
The total DFT energy (no corrections) is -5.471 eV/atom.

The structure in CIF format:
```
data_TiV2H5
_space_group_name_H-M_alt 'I 4/m c m'
_space_group_IT_number 140
_space_group_name_Hall '-I 4 2c'
_cell_length_a 5.1340
_cell_length_b 5.1340
_cell_length_c 8.7159
_cell_angle_alpha 90.00
_cell_angle_beta 90.00
_cell_angle_gamma 90.00
loop_
_atom_site_label
_atom_site_fract_x
_atom_site_fract_y
_atom_site_fract_z
Ti1 0.0000 0.0000 0.2500
V1 0.1981 0.3019 0.0000
H1 0.0000 0.0000 0.0000
H2 0.1346 0.3654 0.3533
```

---

[2]
Here is a relaxed structure of TiVH2 from Alexandria via LeMat-Bulk. Energies are from PBE.

Results
The total DFT energy (no corrections) is -5.696 eV/atom.

The structure in CIF format:
```
data_TiVH2
_space_group_name_H-M_alt 'F m -3 m'
_space_group_IT_number 225
_space_group_name_Hall '-F 4 2 3'
_cell_length_a 5.1626
_cell_length_b 5.1626
_cell_length_c 5.1626
_cell_angle_alpha 90.00
_cell_angle_beta 90.00
_cell_angle_gamma 90.00
loop_
_atom_site_label
_atom_site_fract_x
_atom_site_fract_y
_atom_site_fract_z
Ti1 0.0000 0.0000 0.0000
V1 0.0000 0.0000 0.5000
H1 0.2500 0.2500 0.2500
```

---

[3]
Here is a relaxed structure of Ti2VH4 from Alexandria via LeMat-Bulk. Energies are from PBE.

Results
The total DFT energy (no corrections) is -5.699 eV/atom.

The structure in CIF format:
```
data_Ti2VH4
_space_group_name_H-M_alt 'I 4/m m m'
_space_group_IT_number 139
_space_group_name_Hall '-I 4 2'
_cell_length_a 3.2849
_cell_length_b 3.2849
_cell_length_c 10.3730
_cell_angle_alpha 90.00
_cell_angle_beta 90.00
_cell_angle_gamma 90.00
loop_
_atom_site_label
_atom_site_fract_x
_atom_site_fract_y
_atom_site_fract_z
Ti1 0.0000 0.0000 0.1566
V1 0.0000 0.0000 0.5000
H1 0.0000 0.0000 0.3322
H2 0.0000 0.5000 0.0000
```

---

[4]
Here is a relaxed structure of Ti3V5H12 from Alexandria via LeMat-Bulk. Energies are from PBE.

Results
The total DFT energy (no corrections) is -5.768 eV/atom.

The structure in CIF format:
```
data_Ti3V5H12
_space_group_name_H-M_alt 'I a -3 d'
_space_group_IT_number 230
_space_group_name_Hall '-I 4bd 2c 3'
_cell_length_a 10.5776
_cell_length_b 10.5776
_cell_length_c 10.5776
_cell_angle_alpha 90.00
_cell_angle_beta 90.00
_cell_angle_gamma 90.00
loop_
_atom_site_label
_atom_site_fract_x
_atom_site_fract_y
_atom_site_fract_z
Ti1 0.0000 0.2500 0.1250
V1 0.0000 0.0000 0.0000
V2 0.0000 0.2500 0.3750
H1 0.0109 0.0697 0.6511
```

---

How do the records compare in spin magnetization? In the order shown, they have 0.000 0.000 0.000 0.000 μB per atom.